Record 1
Material: FeSb2Pb
Method: DFT, GGA-PBE
State: relaxed

POSCAR file:
```
FeSb2Pb
1.0
-2.2570 -2.3402 0.6687
1.3500 -1.9625 -2.3117
5.2430 -3.3655 5.9189
Sb Pb Fe
2 1 1
direct
0.5000 0.5000 0.3166
0.0000 0.0000 0.0206
0.5000 0.5000 0.6976
0.0000 0.0000 0.4652
```

## Properties
SG: P4mm
Formation energy without anion corrections, meV/atom: 294

---

Record 2
Material: Al3ZnPt
Method: DFT, GGA-PBE
State: relaxed

POSCAR file:
```
Al3ZnPt
1.0
4.7901 0.0000 0.0000
0.0000 4.7901 0.0000
0.0000 0.0000 4.7901
Al Pt Zn
3 1 1
direct
0.0000 0.5000 0.0000
0.0000 0.0000 0.5000
0.5000 0.0000 0.0000
0.0000 0.0000 0.0000
0.5000 0.5000 0.5000
```

## Properties
SG: Pm-3m
Energy above the most stable polymorph in this dataset, meV per atom: 331.2

---

Record 3
Material: CeYPbAu
Method: DFT, GGA-PBE
State: relaxed

POSCAR file:
```
CeYPbAu
1.0
5.3523 0.0000 0.0000
2.6761 4.6352 0.0000
2.6761 1.5451 4.3701
Ce Pb Au Y
1 1 1 1
direct
0.2500 0.2500 0.2500
0.5000 0.5000 0.5000
0.0000 0.0000 0.0000
0.7500 0.7500 0.7500
```

## Properties
SG: F-43m
VASP energy, eV per atom: -5.38